This record from the Alexandria database describes a relaxed structure of TcSn3N. The functional is GGA-PBE.

```
5
Lattice="-2.1840 -4.5747 0.8095 4.4033 -1.7532 1.9723 -1.4812 1.5335 4.6699" Properties=species:S:1:pos:R:3 pbc="T T T"
Sn 2.2017 -0.8766 0.9862
Sn -0.7406 0.7667 2.3349
Sn -1.0920 -2.2874 0.4048
Tc 0.0000 0.0000 0.0000
N 0.3691 -2.3972 3.7259
```

The value obtained for the formation energy without anion corrections is 1012 meV/atom.

***

This record from the Alexandria database describes a relaxed structure of TcSn3N. The functional is GGA-PBE.

```
5
Lattice="4.6052 0.0000 0.0000 0.0000 4.6052 0.0000 0.0000 0.0000 4.6052" Properties=species:S:1:pos:R:3 pbc="T T T"
Sn 2.3026 0.0000 0.0000
Sn 0.0000 2.3026 0.0000
Sn 0.0000 0.0000 2.3026
Tc 2.3026 2.3026 2.3026
N 0.0000 0.0000 0.0000
```

The value obtained for the formation energy without anion corrections is 829 meV/atom.

***

This record from the Alexandria database describes a relaxed structure of Tc2SnN. The functional is GGA-PBE.

```
4
Lattice="0.0000 3.0714 3.0714 3.0714 0.0000 3.0714 3.0714 3.0714 0.0000" Properties=species:S:1:pos:R:3 pbc="T T T"
Tc 4.6072 4.6072 4.6072
Tc 1.5357 1.5357 1.5357
Sn 3.0714 3.0714 3.0714
N 0.0000 0.0000 0.0000
```

The value obtained for the formation energy without anion corrections is 1249 meV/atom.

***

Number 1: D(E_F) 5.9 states/eV/cell, final energy -5.128 eV/atom. Number 2: D(E_F) 2.6 states/eV/cell, final energy -5.311 eV/atom. Number 3: D(E_F) 6.5 states/eV/cell, final energy -7.016 eV/atom.